1.
# TiAgHg2O4

A geometry-optimized TiAgHg2O4 structure (PBE, the Alexandria database).

N(E_F), states/eV per atom: 0.22
Formation energy without anion corrections, meV per atom: -1134

a = 7.369 Å, b = 7.384 Å, c = 9.998 Å
α = 90.00°, β = 90.00°, γ = 90.00°
Space group Fmm2 (No. 42)
Symmetry-distinct sites (fractional):
Ti  0.000  0.000  0.000
Ag  0.000  0.000  0.499
Hg  0.250  0.250  0.250
O  0.000  0.205  0.894
O  0.206  0.000  0.106

=====

2.
# UAgHgO5

A geometry-optimized UAgHgO5 structure (PBE, the Alexandria database).

N(E_F), states/eV per atom: 0.66
Formation energy without anion corrections, meV per atom: -1537

a = 6.180 Å, b = 11.317 Å, c = 8.130 Å
α = 90.00°, β = 109.76°, γ = 90.00°
Space group C2/c (No. 15)
Symmetry-distinct sites (fractional):
U  0.000  0.000  0.000
Ag  0.000  0.304  0.250
Hg  0.000  0.324  0.750
O  0.000  0.063  0.750
O  0.155  0.170  0.123
O  0.200  0.435  0.454